1.
Sc2PPb | PBEsol | optimized geometry

Values from the calculation:
Space group: Cmmm (65)
ΔE to the lowest computed polymorph in eV per atom: 0.256
Magnetization in μB/atom: 0.00
Calculated volume in Å³ per cell: 81.94

Lattice parameters (Å, degrees): 3.289 3.289 7.821 90.00 90.00 104.48
Atoms (fractional coordinates):
1 P 0.500 0.500 0.500
2 Pb 0.500 0.500 0.000
3 Sc 0.000 0.000 0.294
4 Sc 0.000 0.000 0.706

2.
In2Ge2O7 | PBEsol | optimized geometry

Values from the calculation:
Formation energy (no corrections) in kJ/mol of atoms: -162.1
Space group: Fd-3m (227)
ΔE to the lowest computed polymorph in eV per atom: 0.000
Magnetization in μB/atom: 0.00
Calculated volume in Å³ per cell: 232.67

Lattice parameters (Å, degrees): 6.904 6.904 6.904 60.00 60.00 60.00
Atoms (fractional coordinates):
1 In 0.625 0.625 0.625
2 In 0.625 0.625 0.125
3 In 0.625 0.125 0.625
4 In 0.125 0.625 0.625
5 Ge 0.125 0.125 0.125
6 Ge 0.125 0.125 0.625
7 Ge 0.125 0.625 0.125
8 Ge 0.625 0.125 0.125
9 O 0.750 0.750 0.750
10 O 0.500 0.500 0.500
11 O 0.796 0.796 0.204
12 O 0.204 0.204 0.796
13 O 0.796 0.204 0.796
14 O 0.204 0.796 0.204
15 O 0.796 0.204 0.204
16 O 0.204 0.796 0.796
17 O 0.454 0.454 0.046
18 O 0.046 0.046 0.454
19 O 0.454 0.046 0.454
20 O 0.046 0.454 0.046
21 O 0.454 0.046 0.046
22 O 0.046 0.454 0.454